Record 1
{
  "formula": "Tc2HgSb",
  "functional": "PBE",
  "state": "relaxed",
  "sg": "No. 119",
  "formation_energy_uncorrected_mev_per_atom": 645.3,
  "lattice_angstrom": [[4.0624, 0.0000, 0.0000], [0.0000, 4.0624, 0.0000], [0.0000, 0.0000, 8.5788]],
  "species": ["Tc", "Tc", "Tc", "Tc", "Hg", "Hg", "Sb", "Sb"],
  "fractional_positions": [[0.0000, 0.0000, 0.0000], [0.0000, 0.5000, 0.2500], [0.5000, 0.0000, 0.7500], [0.5000, 0.5000, 0.5000], [0.0000, 0.5000, 0.7500], [0.5000, 0.0000, 0.2500], [0.0000, 0.0000, 0.5000], [0.5000, 0.5000, 0.0000]]
}

Record 2
{
  "formula": "Tl8Hg6Pb",
  "functional": "PBE",
  "state": "relaxed",
  "formation_energy_ev_per_atom": 0.0255,
  "sg": "No. 147",
  "lattice_angstrom": [[11.9259, 0.0000, 0.0000], [-5.9630, 10.3281, 0.0000], [0.0000, 0.0000, 3.6924]],
  "species": ["Tl", "Tl", "Tl", "Tl", "Tl", "Tl", "Tl", "Tl", "Hg", "Hg", "Hg", "Hg", "Hg", "Hg", "Pb"],
  "fractional_positions": [[0.0840, 0.7824, 0.2159], [0.2176, 0.3016, 0.2159], [0.3016, 0.0840, 0.7841], [0.3333, 0.6667, 0.7635], [0.6667, 0.3333, 0.2365], [0.6984, 0.9160, 0.2159], [0.7824, 0.6984, 0.7841], [0.9160, 0.2176, 0.7841], [0.0931, 0.4807, 0.2663], [0.3876, 0.9069, 0.2663], [0.4807, 0.3876, 0.7337], [0.5193, 0.6124, 0.2663], [0.6124, 0.0931, 0.7337], [0.9069, 0.5193, 0.7337], [0.0000, 0.0000, 0.5000]]
}

Number 1: distance to the lowest polymorph of the same formula 1.86 eV per formula unit. Number 2: distance to the lowest polymorph of the same formula 0.00 eV per formula unit.